The following is a DFT calculation (GGA+U) of an optimized crystal structure of K2NiHF6.

## Properties
Total DFT energy (no corrections): -4.11 eV/atom

Lattice parameters (Å, degrees): 6.347 6.347 5.597 55.45 55.45 90.01
Each line ends with the local moment (μB).
Atoms (fractional coordinates):
F 0.298 0.702 0.000  -0.03
F 0.702 0.298 0.000  -0.03
F 0.298 0.298 0.000  -0.03
F 0.174 0.174 0.653  0.05
F 0.702 0.702 0.000  -0.03
F 0.826 0.826 0.347  0.05
Ni 0.500 0.500 0.000  1.06
K 0.250 0.750 0.500  0.00
K 0.750 0.250 0.500  0.00
H 0.000 0.000 0.000  0.01